# Nd4Ho3Ga4

A geometry-optimized Nd4Ho3Ga4 structure (PBE-GGA, the Alexandria database).

a b c (Å): 3.5465 9.0881 18.4341
angles (deg): 90.00 90.00 90.00
Closest atoms and distances in Å follow each position.
Space group Immm (No. 71)
One atom of each set of equivalent atoms:
1 Nd 0.0000 0.1759 0.1657 [8 per cell]  4 Ga 3.12-3.19, 1 Nd 3.20
2 Ho 0.0000 0.0000 0.4074 [4 per cell]  6 Ga 2.96-3.19
3 Ho 0.0000 0.5000 0.5000 [2 per cell]  4 Ga 3.08
4 Ga 0.0000 0.2771 0.0000 [4 per cell]  6 Ho 3.08-3.19, 2 Nd 3.19
5 Ga 0.0000 0.5000 0.2214 [4 per cell]  2 Ho 2.96, 6 Nd 3.12-3.17

Results
E (eV per atom): -4.4911
ΔE_f (eV per formula unit): -4.49
Density (g/cm3): 7.55